## YRuO2F (meta-GGA SCAN)

Data for YRuO2F at its PBEsol-relaxed geometry.

## Properties
D(E_F): 1.4 states/eV/f.u.
total energy: -87.668 eV for the cell shown
formation energy from raw total energies: -9.0 eV per formula unit

a b c (Å): 3.907 3.972 3.972
angles (deg): 90.00 90.00 90.00
Element x y z (fractional)
Y1 0.500 0.500 0.500
Ru1 0.000 0.000 0.000
O1 0.000 0.000 0.500
O2 0.000 0.500 0.000
F1 0.500 0.000 0.000